Y4Ho3In4 | PBE | relaxed

The volume comes out at 322.2 Å³/f.u. The density of states at the Fermi level is 24.57 states/eV/cell. The value obtained for the energy of formation is -0.313 eV/atom.

The structure belongs to space group Immm (No. 71); the cell edges are 3.636, 9.494 and 18.667 Å and the angles 90.00°, 90.00° and 90.00°. The asymmetric unit holds Y at (0.000, 0.189, 0.163), Ho at (0.000, 0.000, 0.404), Ho at (0.000, 0.500, 0.500), In at (0.000, 0.281, 0.000) and In at (0.000, 0.500, 0.232).